Entry 1:
Computed, not measured: CrReB after structural relaxation at the PBE-GGA level of DFT.

Lattice parameters (Å, degrees): 4.1611 2.8870 5.4471 90.00 100.37 90.00
Fractional positions:
Re: 0.7144 0.2500 0.3622
Re: 0.2856 0.7500 0.6378
B: 0.3782 0.2500 0.9586
B: 0.6218 0.7500 0.0414
Cr: 0.8470 0.2500 0.8371
Cr: 0.1530 0.7500 0.1629

Size of the total moment ... 0.0 μB per formula unit
Uncorrected energy ... -9.833 eV/atom
D(E_F) ... 2.0 states/eV/f.u.
Polymorph energy (0 for the lowest one) ... 0.24 eV per formula unit

***

Entry 2:
Computed, not measured: CaNiSb2Te after structural relaxation at the PBE-GGA level of DFT.

Lattice parameters (Å, degrees): 5.7107 5.7107 5.6462 90.00 90.00 90.00
Each line ends with the local moment (μB).
Fractional positions:
Sb: 0.0000 0.5000 0.0000  -0.03
Sb: 0.5000 0.0000 0.0000  -0.03
Ca: 0.0000 0.0000 0.0000  0.00
Te: 0.0000 0.0000 0.5000  -0.01
Ni: 0.5000 0.5000 0.5000  0.88

Size of the total moment ... 0.8 μB per formula unit
Uncorrected energy ... -2.825 eV/atom
ΔE_f (raw) ... 1.01 eV/atom
D(E_F) ... 11.8 states/eV/f.u.
Polymorph energy (0 for the lowest one) ... 6.08 eV per formula unit